Entry 1:
DFT (PBE-GGA) results for a geometry-optimized Zr2VHRh structure.

## Properties
E_tot: -38.71 eV for the cell shown
Crystal system: tetragonal

Cell: 4.605 4.605 3.478 Å, 90.00 90.00 90.00°
Atoms (fractional coordinates):
V1 0.000 0.000 0.500
Zr1 0.000 0.500 0.000
Zr2 0.500 0.000 0.000
H1 0.000 0.000 0.000
Rh1 0.500 0.500 0.500

Entry 2:
DFT (PBE-GGA) results for a geometry-optimized H2RhW structure.

## Properties
E_tot: -26.53 eV for the cell shown
Crystal system: monoclinic

Cell: 2.906 2.906 5.926 Å, 60.91 60.91 60.06°
Atoms (fractional coordinates):
H1 0.030 0.030 0.770
H2 0.338 0.338 0.302
W1 0.550 0.550 0.485
Rh1 0.582 0.582 0.943

For each record above, in turn, the calculated ΔE to the lowest computed polymorph values are 0.00, 0.00 eV per formula unit.